Entry 1:
Entry from the Alexandria database: an optimized crystal structure of ZrCuTe2N (GGA-PBE).

The space group is P4/mmm (No. 123) and the conventional cell measures 5.316, 5.316 and 3.624 Å, with angles of 90.00, 90.00 and 90.00 degrees. Symmetry generates all atoms from Zr at (0.000, 0.000, 0.000), Cu at (0.500, 0.500, 0.500), Te at (0.000, 0.500, 0.500) and N at (0.500, 0.500, 0.000).

The distance to the lowest polymorph of the same formula comes out at 222 meV/atom. The calculated total energy is -24.8 eV/cell. As for the uncorrected formation energy: 488 meV per atom. The crystal system is tetragonal.

=====

Entry 2:
Entry from the Alexandria database: an optimized crystal structure of Th3CuN (GGA-PBE).

The space group is Pm-3m (No. 221) and the conventional cell measures 4.927, 4.927 and 4.927 Å, with angles of 90.00, 90.00 and 90.00 degrees. Symmetry generates all atoms from Th at (0.000, 0.000, 0.500), Cu at (0.500, 0.500, 0.500) and N at (0.000, 0.000, 0.000).

The calculated total energy is -37.1 eV/cell. As for the uncorrected formation energy: -474 meV per atom. The crystal system is cubic.

=====

Entry 3:
Entry from the Alexandria database: an optimized crystal structure of Th4Cu2N (GGA-PBE).

The space group is I4/mmm (No. 139) and the conventional cell measures 4.722, 4.722 and 15.643 Å, with angles of 90.00, 90.00 and 90.00 degrees. Symmetry generates all atoms from Th at (0.000, 0.000, 0.190), Th at (0.000, 0.500, 0.000), Cu at (0.000, 0.000, 0.363) and N at (0.000, 0.000, 0.500).

The calculated total energy is -95.0 eV/cell. As for the uncorrected formation energy: -184 meV per atom. The crystal system is tetragonal.

=====

Entry 4:
Entry from the Alexandria database: an optimized crystal structure of Ti4CuN2 (GGA-PBE).

The space group is Cmcm (No. 63) and the conventional cell measures 3.067, 10.292 and 10.821 Å, with angles of 90.00, 90.00 and 90.00 degrees. Symmetry generates all atoms from Ti at (0.000, 0.000, 0.000), Ti at (0.000, 0.259, 0.105), Ti at (0.000, 0.421, 0.750), Cu at (0.000, 0.114, 0.750) and N at (0.000, 0.367, 0.561).

The calculated total energy is -240.7 eV/cell. As for the uncorrected formation energy: -1122 meV per atom. The crystal system is orthorhombic.

=====

Entry 5:
Entry from the Alexandria database: an optimized crystal structure of Ti4Cu5N (GGA-PBE).

The space group is Immm (No. 71) and the conventional cell measures 3.110, 8.385 and 10.337 Å, with angles of 90.00, 90.00 and 90.00 degrees. Symmetry generates all atoms from Ti at (0.000, 0.000, 0.136), Ti at (0.000, 0.260, 0.500), Cu at (0.000, 0.341, 0.196), Cu at (0.000, 0.500, 0.000) and N at (0.000, 0.500, 0.500).

The calculated total energy is -127.9 eV/cell. As for the uncorrected formation energy: -358 meV per atom. The crystal system is orthorhombic.

=====

Entry 6:
Entry from the Alexandria database: an optimized crystal structure of Ti4CuN (GGA-PBE).

The space group is P2_1/c (No. 14) and the conventional cell measures 6.992, 4.764 and 6.254 Å, with angles of 90.00, 116.48 and 90.00 degrees. Symmetry generates all atoms from Ti at (0.122, 0.250, 0.311), Ti at (0.260, 0.747, 0.130), Cu at (0.500, 0.000, 0.500) and N at (0.000, 0.000, 0.000).

The calculated total energy is -92.7 eV/cell. As for the uncorrected formation energy: -387 meV per atom. The crystal system is monoclinic.

=====

Entry 7:
Entry from the Alexandria database: an optimized crystal structure of Ti5CuN6 (GGA-PBE).

The space group is C2/m (No. 12) and the conventional cell measures 5.231, 9.031 and 5.213 Å, with angles of 90.00, 109.61 and 90.00 degrees. Symmetry generates all atoms from Ti at (0.000, 0.000, 0.000), Ti at (0.000, 0.166, 0.500), Ti at (0.000, 0.340, 0.000), Cu at (0.000, 0.500, 0.500), N at (0.242, 0.000, 0.754) and N at (0.242, 0.172, 0.242).

The calculated total energy is -218.7 eV/cell. As for the uncorrected formation energy: -1320 meV per atom. The crystal system is monoclinic.

=====

Entry 8:
Entry from the Alexandria database: an optimized crystal structure of TiCu3N (GGA-PBE).

The space group is Pm-3m (No. 221) and the conventional cell measures 4.563, 4.563 and 4.563 Å, with angles of 90.00, 90.00 and 90.00 degrees. Symmetry generates all atoms from Ti at (0.000, 0.000, 0.000), Cu at (0.000, 0.000, 0.500) and N at (0.500, 0.500, 0.500).

The distance to the lowest polymorph of the same formula comes out at 1930 meV/atom. The calculated total energy is -16.5 eV/cell. As for the uncorrected formation energy: 2399 meV per atom. The crystal system is cubic.

=====

Entry 9:
Entry from the Alexandria database: an optimized crystal structure of Ti4Cu2N (GGA-PBE).

The space group is I4/mmm (No. 139) and the conventional cell measures 4.068, 4.068 and 12.305 Å, with angles of 90.00, 90.00 and 90.00 degrees. Symmetry generates all atoms from Ti at (0.000, 0.000, 0.173), Ti at (0.000, 0.500, 0.000), Cu at (0.000, 0.000, 0.370) and N at (0.000, 0.000, 0.000).

The distance to the lowest polymorph of the same formula comes out at 187 meV/atom. The calculated total energy is -102.4 eV/cell. As for the uncorrected formation energy: -446 meV per atom. The crystal system is tetragonal.

=====

Entry 10:
Entry from the Alexandria database: an optimized crystal structure of Ti6CuN (GGA-PBE).

The space group is P-1 (No. 2) and the conventional cell measures 4.688, 5.243 and 5.365 Å, with angles of 98.71, 112.29 and 90.92 degrees. Symmetry generates all atoms from Ti at (0.062, 0.293, 0.155), Ti at (0.229, 0.827, 0.472), Ti at (0.399, 0.378, 0.750), Cu at (0.500, 0.000, 0.000) and N at (0.000, 0.500, 0.500).

The calculated total energy is -63.2 eV/cell. As for the uncorrected formation energy: -431 meV per atom. The crystal system is triclinic.

=====

Entry 11:
Entry from the Alexandria database: an optimized crystal structure of Ti4Cu2N (GGA-PBE).

The space group is Fd-3m (No. 227, origin choice 2) and the conventional cell measures 11.452, 11.452 and 11.452 Å, with angles of 90.00, 90.00 and 90.00 degrees. Symmetry generates all atoms from Ti at (0.000, 0.000, 0.000), Ti at (0.054, 0.375, 0.875), Cu at (0.042, 0.042, 0.208) and N at (0.000, 0.000, 0.500).

The distance to the lowest polymorph of the same formula comes out at 0 meV/atom. The calculated total energy is -840.5 eV/cell. As for the uncorrected formation energy: -633 meV per atom. The crystal system is cubic.

=====

Entry 12:
Entry from the Alexandria database: an optimized crystal structure of TiCu2N3 (GGA-PBE).

The space group is P4/mmm (No. 123) and the conventional cell measures 4.084, 4.084 and 4.073 Å, with angles of 90.00, 90.00 and 90.00 degrees. Symmetry generates all atoms from Ti at (0.000, 0.000, 0.000), Cu at (0.000, 0.500, 0.500), N at (0.000, 0.000, 0.500) and N at (0.000, 0.500, 0.000).

The calculated total energy is -40.3 eV/cell. As for the uncorrected formation energy: 124 meV per atom. The crystal system is tetragonal.

=====

Entry 13:
Entry from the Alexandria database: an optimized crystal structure of TiCu3N (GGA-PBE).

The space group is Pm-3m (No. 221) and the conventional cell measures 3.955, 3.955 and 3.955 Å, with angles of 90.00, 90.00 and 90.00 degrees. Symmetry generates all atoms from Ti at (0.000, 0.000, 0.000), Cu at (0.000, 0.500, 0.500) and N at (0.500, 0.500, 0.500).

The distance to the lowest polymorph of the same formula comes out at 0 meV/atom. The calculated total energy is -26.2 eV/cell. As for the uncorrected formation energy: 469 meV per atom. The crystal system is cubic.

=====

Entry 14:
Entry from the Alexandria database: an optimized crystal structure of Ti8CuN2 (GGA-PBE).

The space group is C2/m (No. 12) and the conventional cell measures 10.932, 6.744 and 4.522 Å, with angles of 90.00, 91.17 and 90.00 degrees. Symmetry generates all atoms from Ti at (0.101, 0.212, 0.274), Ti at (0.161, 0.000, 0.780), Ti at (0.185, 0.500, 0.711), Cu at (0.000, 0.500, 0.000) and N at (0.153, 0.500, 0.231).

The calculated total energy is -174.6 eV/cell. As for the uncorrected formation energy: -311 meV per atom. The crystal system is monoclinic.

=====

Entry 15:
Entry from the Alexandria database: an optimized crystal structure of Ti6CuN4 (GGA-PBE).

The space group is Cmcm (No. 63) and the conventional cell measures 3.058, 10.199 and 15.886 Å, with angles of 90.00, 90.00 and 90.00 degrees. Symmetry generates all atoms from Ti at (0.000, 0.000, 0.000), Ti at (0.000, 0.147, 0.250), Ti at (0.000, 0.278, 0.578), Ti at (0.000, 0.464, 0.149), Cu at (0.000, 0.159, 0.750), N at (0.000, 0.093, 0.122) and N at (0.000, 0.362, 0.040).

The calculated total energy is -398.6 eV/cell. As for the uncorrected formation energy: -1353 meV per atom. The crystal system is orthorhombic.

=====

Entry 16:
Entry from the Alexandria database: an optimized crystal structure of Ti2VCuN (GGA-PBE).

The space group is P4/mmm (No. 123) and the conventional cell measures 4.112, 4.112 and 3.847 Å, with angles of 90.00, 90.00 and 90.00 degrees. Symmetry generates all atoms from Ti at (0.000, 0.500, 0.000), V at (0.000, 0.000, 0.500), Cu at (0.500, 0.500, 0.500) and N at (0.000, 0.000, 0.000).

The calculated total energy is -40.8 eV/cell. As for the uncorrected formation energy: -696 meV per atom. The crystal system is tetragonal.

=====

Entry 17:
Entry from the Alexandria database: an optimized crystal structure of Y2TiCuN (GGA-PBE).

The space group is P4/mmm (No. 123) and the conventional cell measures 4.875, 4.875 and 3.985 Å, with angles of 90.00, 90.00 and 90.00 degrees. Symmetry generates all atoms from Y at (0.000, 0.500, 0.000), Ti at (0.000, 0.000, 0.500), Cu at (0.500, 0.500, 0.500) and N at (0.000, 0.000, 0.000).

The calculated total energy is -36.7 eV/cell. As for the uncorrected formation energy: -686 meV per atom. The crystal system is tetragonal.

=====

Entry 18:
Entry from the Alexandria database: an optimized crystal structure of YTi2CuN (GGA-PBE).

The space group is P4/mmm (No. 123) and the conventional cell measures 4.133, 4.133 and 4.706 Å, with angles of 90.00, 90.00 and 90.00 degrees. Symmetry generates all atoms from Y at (0.000, 0.000, 0.000), Ti at (0.000, 0.500, 0.500), Cu at (0.500, 0.500, 0.000) and N at (0.000, 0.000, 0.500).

The calculated total energy is -37.9 eV/cell. As for the uncorrected formation energy: -651 meV per atom. The crystal system is tetragonal.

=====

Entry 19:
Entry from the Alexandria database: an optimized crystal structure of Ti2ZnCuN (GGA-PBE).

The space group is P4/nmm (No. 129, origin choice 2) and the conventional cell measures 3.242, 3.242 and 12.347 Å, with angles of 90.00, 90.00 and 90.00 degrees. Symmetry generates all atoms from Ti at (0.250, 0.250, 0.079), Ti at (0.250, 0.250, 0.758), Zn at (0.250, 0.250, 0.345), Cu at (0.250, 0.750, 0.500) and N at (0.250, 0.250, 0.915).

The calculated total energy is -65.1 eV/cell. As for the uncorrected formation energy: -613 meV per atom. The crystal system is tetragonal.

=====

Entry 20:
Entry from the Alexandria database: an optimized crystal structure of ZrTi2CuN (GGA-PBE).

The space group is P4/mmm (No. 123) and the conventional cell measures 4.093, 4.093 and 4.444 Å, with angles of 90.00, 90.00 and 90.00 degrees. Symmetry generates all atoms from Zr at (0.000, 0.000, 0.000), Ti at (0.000, 0.500, 0.500), Cu at (0.500, 0.500, 0.000) and N at (0.000, 0.000, 0.500).

The calculated total energy is -40.6 eV/cell. As for the uncorrected formation energy: -760 meV per atom. The crystal system is tetragonal.

=====

Entry 21:
Entry from the Alexandria database: an optimized crystal structure of TlCu3N (GGA-PBE).

The space group is Pm-3m (No. 221) and the conventional cell measures 4.102, 4.102 and 4.102 Å, with angles of 90.00, 90.00 and 90.00 degrees. Symmetry generates all atoms from Tl at (0.000, 0.000, 0.000), Cu at (0.000, 0.500, 0.500) and N at (0.500, 0.500, 0.500).

The distance to the lowest polymorph of the same formula comes out at 0 meV/atom. The calculated total energy is -21.0 eV/cell. As for the uncorrected formation energy: 393 meV per atom. The crystal system is cubic.

=====

Entry 22:
Entry from the Alexandria database: an optimized crystal structure of TlCuN3 (GGA-PBE).

The space group is Pm-3m (No. 221) and the conventional cell measures 3.863, 3.863 and 3.863 Å, with angles of 90.00, 90.00 and 90.00 degrees. Symmetry generates all atoms from Tl at (0.000, 0.000, 0.000), Cu at (0.500, 0.500, 0.500) and N at (0.000, 0.500, 0.500).

The calculated total energy is -21.6 eV/cell. As for the uncorrected formation energy: 1958 meV per atom. The crystal system is cubic.

=====

Entry 23:
Entry from the Alexandria database: an optimized crystal structure of Tl2CuN4 (GGA-PBE).

The space group is I4/mmm (No. 139) and the conventional cell measures 3.690, 3.690 and 13.864 Å, with angles of 90.00, 90.00 and 90.00 degrees. Symmetry generates all atoms from Tl at (0.000, 0.000, 0.158), Cu at (0.000, 0.000, 0.500), N at (0.000, 0.000, 0.330) and N at (0.000, 0.500, 0.000).

The calculated total energy is -60.2 eV/cell. As for the uncorrected formation energy: 1719 meV per atom. The crystal system is tetragonal.

=====

Entry 24:
Entry from the Alexandria database: an optimized crystal structure of TlCu3N (GGA-PBE).

The space group is Pm-3m (No. 221) and the conventional cell measures 4.979, 4.979 and 4.979 Å, with angles of 90.00, 90.00 and 90.00 degrees. Symmetry generates all atoms from Tl at (0.000, 0.000, 0.000), Cu at (0.000, 0.000, 0.500) and N at (0.500, 0.500, 0.500).

The distance to the lowest polymorph of the same formula comes out at 1556 meV/atom. The calculated total energy is -13.2 eV/cell. As for the uncorrected formation energy: 1950 meV per atom. The crystal system is cubic.